# 1
VASP calculation (PBE) on crystalline Er3Tm8Mg at its relaxed geometry.

extended XYZ file:
```
12
Lattice="-2.072 2.773 0.618 -6.948 -4.786 -1.815 -3.403 -9.105 9.454" Properties=species:S:1:pos:R:3 pbc="T T T"
Mg -8.960 -7.567 7.267
Tm -2.732 -2.002 3.164
Tm -8.278 -8.574 4.062
Tm -4.154 -0.239 0.489
Tm -6.961 -5.621 5.227
Tm -3.793 -5.186 3.896
Tm -10.013 -10.744 7.991
Tm -4.530 -4.232 7.147
Tm -6.324 -6.649 1.972
Er -7.718 -4.859 -0.733
Er -5.615 -7.430 7.859
Er -5.231 -3.436 1.222
```

Total DFT energy (no corrections) ... -4.249 eV per atom
M_tot ... 0.0 μB/cell
DOS at the Fermi energy ... 16.872 states/eV per cell


# 2
VASP calculation (PBE) on crystalline Er12Tm5Mg2 at its relaxed geometry.

extended XYZ file:
```
19
Lattice="8.984 0.000 0.000 -4.492 7.750 1.219 0.000 -1.261 8.112" Properties=species:S:1:pos:R:3 pbc="T T T"
Tm 0.000 2.938 5.293
Tm 4.492 3.054 0.512
Tm 0.000 -0.630 4.056
Tm 4.492 3.551 4.038
Tm 0.000 3.435 8.818
Er 4.492 0.458 2.835
Er 6.250 1.091 5.683
Er 2.822 4.384 6.957
Er 1.671 2.105 2.374
Er 0.000 0.301 7.504
Er -2.822 4.384 6.957
Er -1.758 5.398 3.647
Er 2.735 1.091 5.683
Er 0.000 6.031 6.496
Er 1.758 5.398 3.647
Er 7.314 2.105 2.374
Er 4.492 6.188 1.827
Mg 2.914 0.000 0.000
Mg 6.071 0.000 0.000
```

Total DFT energy (no corrections) ... -4.122 eV per atom
M_tot ... 0.0 μB/cell
DOS at the Fermi energy ... 29.234 states/eV per cell


# 3
VASP calculation (PBE) on crystalline ErTmMg at its relaxed geometry.

extended XYZ file:
```
3
Lattice="-2.457 2.057 -0.924 -1.573 0.429 5.138 3.634 3.442 -2.002" Properties=species:S:1:pos:R:3 pbc="T T T"
Mg 1.089 3.114 0.074
Tm -0.117 0.098 -0.044
Er -1.369 2.715 2.182
```

Total DFT energy (no corrections) ... -3.491 eV per atom
M_tot ... 0.0 μB/cell
DOS at the Fermi energy ... 3.733 states/eV per cell


- The highest total DFT energy (no corrections) belongs to which entry?
  ErTmMg


What did the second record say?
VASP calculation (PBE) on crystalline Er12Tm5Mg2 at its relaxed geometry.

extended XYZ file:
```
19
Lattice="8.984 0.000 0.000 -4.492 7.750 1.219 0.000 -1.261 8.112" Properties=species:S:1:pos:R:3 pbc="T T T"
Tm 0.000 2.938 5.293
Tm 4.492 3.054 0.512
Tm 0.000 -0.630 4.056
Tm 4.492 3.551 4.038
Tm 0.000 3.435 8.818
Er 4.492 0.458 2.835
Er 6.250 1.091 5.683
Er 2.822 4.384 6.957
Er 1.671 2.105 2.374
Er 0.000 0.301 7.504
Er -2.822 4.384 6.957
Er -1.758 5.398 3.647
Er 2.735 1.091 5.683
Er 0.000 6.031 6.496
Er 1.758 5.398 3.647
Er 7.314 2.105 2.374
Er 4.492 6.188 1.827
Mg 2.914 0.000 0.000
Mg 6.071 0.000 0.000
```

Total DFT energy (no corrections) ... -4.122 eV per atom
M_tot ... 0.0 μB/cell
DOS at the Fermi energy ... 29.234 states/eV per cell